First-principles (PBE) data for a geometry-optimized Cs2CaHgGe structure, as listed in the Alexandria database.

Output
E above lowest polymorph, meV per atom: 178
Energy relative to the elements, eV/atom: 0.214
Total magnetic moment, μB/f.u.: 0.00
D(E_F), states/eV/f.u.: 2.62

Cell: 7.733 7.733 5.409 Å, 90.00 90.00 90.00°
Element x y z (fractional)
Cs: 0.000 0.500 0.000
Cs: 0.500 0.000 0.000
Ca: 0.000 0.000 0.000
Hg: 0.500 0.500 0.500
Ge: 0.000 0.000 0.500